Entry 1:
# Er4CoSe2

A geometry-optimized Er4CoSe2 structure (PBE, the Alexandria database).

Calculated values
DOS at the Fermi energy	7.9	states/eV per cell
space group	Cmcm (63)
raw formation energy	-1.014	eV per atom

a = 3.7485 Å, b = 6.8226 Å, c = 13.8656 Å
α = 90.00°, β = 90.00°, γ = 105.94°
Fractional positions:
1 Co 0.3936 0.7872 0.2500
2 Co 0.6064 0.2128 0.7500
3 Se 0.8576 0.7151 0.9325
4 Se 0.1424 0.2849 0.0675
5 Se 0.8576 0.7151 0.5675
6 Se 0.1424 0.2849 0.4325
7 Er 0.2029 0.4057 0.6303
8 Er 0.7971 0.5943 0.3697
9 Er 0.7971 0.5943 0.1303
10 Er 0.2029 0.4057 0.8697
11 Er 0.9613 0.9227 0.7500
12 Er 0.0387 0.0773 0.2500
13 Er 0.5000 0.0000 0.0000
14 Er 0.5000 0.0000 0.5000

Entry 2:
# Er3CoSe

A geometry-optimized Er3CoSe structure (PBE, the Alexandria database).

Calculated values
DOS at the Fermi energy	5.8	states/eV per cell
space group	P2_1/m (11)
raw formation energy	-0.776	eV per atom

a = 3.7707 Å, b = 8.1979 Å, c = 7.8772 Å
α = 107.61°, β = 90.00°, γ = 90.00°
Fractional positions:
1 Er 0.2500 0.6002 0.3245
2 Er 0.7500 0.3998 0.6755
3 Er 0.2500 0.0574 0.6919
4 Er 0.7500 0.2441 0.0694
5 Er 0.7500 0.9426 0.3081
6 Er 0.2500 0.7559 0.9306
7 Co 0.7500 0.5838 0.0636
8 Co 0.2500 0.4162 0.9364
9 Se 0.7500 0.7502 0.6203
10 Se 0.2500 0.2498 0.3797

Entry 3:
# Er7CoSe5

A geometry-optimized Er7CoSe5 structure (PBE, the Alexandria database).

Calculated values
DOS at the Fermi energy	10.8	states/eV per cell
space group	Cmc2_1 (36)
raw formation energy	-1.353	eV per atom

a = 3.8848 Å, b = 6.9362 Å, c = 24.1867 Å
α = 90.00°, β = 90.00°, γ = 106.26°
Fractional positions:
1 Er 0.4483 0.8967 0.2489
2 Er 0.5522 0.1044 0.7489
3 Er 0.6460 0.2920 0.0398
4 Er 0.3677 0.7355 0.9644
5 Er 0.3546 0.7093 0.5398
6 Er 0.6328 0.2657 0.4645
7 Er 0.2133 0.4265 0.1825
8 Er 0.8016 0.6031 0.8163
9 Er 0.7873 0.5747 0.6825
10 Er 0.1989 0.3978 0.3163
11 Er 0.9215 0.8430 0.1139
12 Er 0.1044 0.2087 0.8703
13 Er 0.0792 0.1584 0.6138
14 Er 0.8961 0.7923 0.3703
15 Co 0.8089 0.6177 0.2600
16 Co 0.1917 0.3833 0.7599
17 Se 0.0090 0.0181 0.9993
18 Se 0.7264 0.4528 0.9289
19 Se 0.2868 0.5735 0.0722
20 Se 0.5511 0.1022 0.3575
21 Se 0.4361 0.8722 0.6461
22 Se 0.9915 0.9831 0.4993
23 Se 0.2741 0.5482 0.4289
24 Se 0.7139 0.4278 0.5722
25 Se 0.4494 0.8988 0.8575
26 Se 0.5646 0.1291 0.1461

Entry 4:
# Er12Co3Se5

A geometry-optimized Er12Co3Se5 structure (PBE, the Alexandria database).

Calculated values
DOS at the Fermi energy	88.9	states/eV per cell
space group	Ia-3d (230)
raw formation energy	-0.522	eV per atom

a = 14.2642 Å, b = 14.2642 Å, c = 14.2642 Å
α = 109.47°, β = 109.47°, γ = 109.47°
Fractional positions:
1 Co 0.7500 0.3750 0.1250
2 Co 0.8750 0.7500 0.1250
3 Co 0.3750 0.7500 0.6250
4 Co 0.2500 0.1250 0.3750
5 Co 0.8750 0.1250 0.2500
6 Co 0.3750 0.6250 0.2500
7 Co 0.6250 0.3750 0.7500
8 Co 0.1250 0.8750 0.7500
9 Co 0.7500 0.8750 0.6250
10 Co 0.6250 0.2500 0.3750
11 Co 0.1250 0.2500 0.8750
12 Co 0.2500 0.6250 0.8750
13 Se 0.1250 0.3750 0.2500
14 Se 0.0000 0.5000 0.0000
15 Se 0.0000 0.0000 0.0000
16 Se 0.3750 0.2500 0.1250
17 Se 0.5000 0.0000 0.5000
18 Se 0.5000 0.5000 0.0000
19 Se 0.1250 0.7500 0.3750
20 Se 0.7500 0.1250 0.8750
21 Se 0.7500 0.6250 0.3750
22 Se 0.3750 0.1250 0.7500
23 Se 0.6250 0.8750 0.2500
24 Se 0.5000 0.5000 0.5000
25 Se 0.5000 0.0000 0.0000
26 Se 0.0000 0.0000 0.5000
27 Se 0.2500 0.3750 0.6250
28 Se 0.2500 0.8750 0.1250
29 Se 0.0000 0.5000 0.5000
30 Se 0.8750 0.2500 0.6250
31 Se 0.6250 0.7500 0.8750
32 Se 0.8750 0.6250 0.7500
33 Er 0.7299 0.1313 0.0604
34 Er 0.3305 0.5604 0.4291
35 Er 0.9396 0.3687 0.2701
36 Er 0.5604 0.2299 0.1313
37 Er 0.5986 0.7299 0.6695
38 Er 0.9396 0.5709 0.1695
39 Er 0.3305 0.7701 0.4014
40 Er 0.0709 0.9014 0.1313
41 Er 0.5709 0.9396 0.6695
42 Er 0.7299 0.5986 0.1695
43 Er 0.7701 0.4396 0.3687
44 Er 0.8305 0.9291 0.0604
45 Er 0.1313 0.7299 0.5604
46 Er 0.3687 0.4291 0.0986
47 Er 0.0986 0.9291 0.3687
48 Er 0.4014 0.1313 0.5709
49 Er 0.0986 0.1695 0.2299
50 Er 0.4396 0.6695 0.0709
51 Er 0.8305 0.9014 0.2701
52 Er 0.1313 0.4014 0.0709
53 Er 0.3687 0.9396 0.7701
54 Er 0.5709 0.6313 0.4014
55 Er 0.9291 0.8305 0.5604
56 Er 0.7701 0.3305 0.9014
57 Er 0.4291 0.3687 0.5986
58 Er 0.0709 0.1695 0.4396
59 Er 0.2299 0.6695 0.0986
60 Er 0.1695 0.0986 0.7299
61 Er 0.6313 0.0604 0.2299
62 Er 0.8687 0.5986 0.9291
63 Er 0.5604 0.3305 0.9291
64 Er 0.5986 0.8687 0.4291
65 Er 0.9014 0.8305 0.7701
66 Er 0.9014 0.0709 0.6313
67 Er 0.8687 0.2701 0.4396
68 Er 0.1695 0.0709 0.9396
69 Er 0.6313 0.5709 0.9014
70 Er 0.4291 0.0604 0.3305
71 Er 0.2701 0.4014 0.8305
72 Er 0.2299 0.5604 0.6313
73 Er 0.9291 0.0986 0.8687
74 Er 0.6695 0.2299 0.5986
75 Er 0.4396 0.7701 0.8687
76 Er 0.0604 0.4291 0.8305
77 Er 0.4014 0.2701 0.3305
78 Er 0.0604 0.6313 0.7299
79 Er 0.6695 0.4396 0.5709
80 Er 0.2701 0.8687 0.9396

Entry 5:
# Er5CoSe4

A geometry-optimized Er5CoSe4 structure (PBE, the Alexandria database).

Calculated values
DOS at the Fermi energy	9.4	states/eV per cell
space group	I4/m (87)
raw formation energy	-1.402	eV per atom

a = 5.7371 Å, b = 6.9982 Å, c = 6.9982 Å
α = 80.33°, β = 65.80°, γ = 65.80°
Fractional positions:
1 Er 0.9082 0.3629 0.8228
2 Er 0.2711 0.8228 0.6371
3 Er 0.7309 0.1772 0.3629
4 Er 0.0938 0.6371 0.1772
5 Er 0.5012 0.0000 0.0000
6 Co 0.0011 0.0000 0.0000
7 Se 0.4095 0.3994 0.7836
8 Se 0.8089 0.7836 0.6006
9 Se 0.1931 0.2164 0.3994
10 Se 0.5925 0.6006 0.2164

Entry 6:
# Er2CoSe

A geometry-optimized Er2CoSe structure (PBE, the Alexandria database).

Calculated values
DOS at the Fermi energy	5.8	states/eV per cell
space group	Cmcm (63)
raw formation energy	-0.974	eV per atom

a = 3.9354 Å, b = 3.9975 Å, c = 11.1477 Å
α = 100.33°, β = 90.00°, γ = 90.00°
Fractional positions:
1 Er 0.7500 0.6692 0.3385
2 Er 0.2500 0.3308 0.6615
3 Er 0.7500 0.9369 0.8738
4 Er 0.2500 0.0631 0.1262
5 Co 0.2500 0.4704 0.9408
6 Co 0.7500 0.5296 0.0592
7 Se 0.2500 0.1949 0.3898
8 Se 0.7500 0.8051 0.6102

Number 1 is which compound? Er4CoSe2

Please write out number 2 again, unchanged.
# Er3CoSe

A geometry-optimized Er3CoSe structure (PBE, the Alexandria database).

Calculated values
DOS at the Fermi energy	5.8	states/eV per cell
space group	P2_1/m (11)
raw formation energy	-0.776	eV per atom

a = 3.7707 Å, b = 8.1979 Å, c = 7.8772 Å
α = 107.61°, β = 90.00°, γ = 90.00°
Fractional positions:
1 Er 0.2500 0.6002 0.3245
2 Er 0.7500 0.3998 0.6755
3 Er 0.2500 0.0574 0.6919
4 Er 0.7500 0.2441 0.0694
5 Er 0.7500 0.9426 0.3081
6 Er 0.2500 0.7559 0.9306
7 Co 0.7500 0.5838 0.0636
8 Co 0.2500 0.4162 0.9364
9 Se 0.7500 0.7502 0.6203
10 Se 0.2500 0.2498 0.3797